Record 1
# La4Nd2Y3

An optimized crystal structure of La4Nd2Y3 (PBE, Alexandria).

Density of states at the Fermi level ... 14.2 states/eV per cell
Space-group type ... No. 12
ΔE to the lowest computed polymorph ... 0.0649 eV per atom
Total magnetization ... 0.000 μB/atom

POSCAR file:
```
La4Nd2Y3
1.0
-2.3742 2.7927 -0.5582
-3.6599 -5.7244 -0.7588
-7.8575 -4.3028 11.8921
Y La Nd
3 4 2
Direct
0.0000 0.0000 0.0000
0.3838 0.7676 0.6111
0.6162 0.2324 0.3889
0.8862 0.7723 0.3948
0.1138 0.2277 0.6052
0.6475 0.2949 0.1273
0.3525 0.7051 0.8727
0.6614 0.3227 0.7907
0.3386 0.6773 0.2093
```

***

Record 2
# La8Nd3Y

An optimized crystal structure of La8Nd3Y (PBE, Alexandria).

Density of states at the Fermi level ... 19.2 states/eV per cell
Space-group type ... No. 71
Total magnetization ... 0.000 μB/atom

POSCAR file:
```
La8Nd3Y
1.0
8.4236 -1.3026 -2.4940
-5.9382 6.4780 -1.2835
1.0434 1.3026 8.7228
La Nd Y
8 3 1
Direct
0.8347 0.2475 0.0822
0.0497 0.7768 0.2730
0.1653 0.2475 0.4128
0.1653 0.7525 0.9178
0.8347 0.7525 0.5872
0.9503 0.2233 0.7271
0.4962 0.2232 0.2729
0.5038 0.7767 0.7270
0.0000 0.5000 0.5000
0.5000 0.2450 0.7450
0.5000 0.7550 0.2550
0.0000 0.0000 0.0000
```

***

no.,energy relative to the elements (eV per atom)
1,0.0852
2,0.2782